Compound: Co2HgBr
Source: Alexandria
Functional: PBE
Structure: relaxed

Cell lengths 3.1626, 4.1630, 5.6722 Å; angles 90.00, 90.00, 90.00 degrees
Fractional coordinates of all 4 atoms:
Co1 0.0000 0.0000 0.0000
Co2 0.5000 0.0000 0.5000
Hg1 0.0000 0.5000 0.5000
Br1 0.5000 0.5000 0.0000

Energy above the most stable polymorph in this dataset in meV per atom: 445

---

Compound: CsCuTcH6
Source: Alexandria
Functional: PBE
Structure: relaxed

Cell lengths 6.3793, 4.6793, 4.6793 Å; angles 59.89, 90.00, 90.00 degrees
Fractional coordinates of all 9 atoms:
Cs1 0.0000 0.0000 0.0000
Cu1 0.5000 0.3334 0.3334
Tc1 0.5000 0.6664 0.6664
H1 0.3211 0.5077 0.5077
H2 0.3212 0.5082 0.9841
H3 0.3212 0.9841 0.5082
H4 0.6789 0.5077 0.5077
H5 0.6788 0.5082 0.9841
H6 0.6788 0.9841 0.5082

---

Compound: Fe2TeMo
Source: Alexandria
Functional: PBE
Structure: relaxed

Cell lengths 3.0023, 4.1409, 5.1356 Å; angles 90.00, 94.19, 90.00 degrees
Fractional coordinates of all 4 atoms:
Fe1 0.0000 0.0000 0.0000
Fe2 0.2908 0.5000 0.8078
Te1 0.2241 0.0000 0.4985
Mo1 0.6848 0.5000 0.2450

Energy above the most stable polymorph in this dataset in meV per atom: 133

---

Compound: CoW
Source: Alexandria
Functional: PBE
Structure: relaxed

Cell lengths 2.6285, 4.3256, 4.7730 Å; angles 90.00, 90.00, 90.00 degrees
Fractional coordinates of all 4 atoms:
Co1 0.2500 0.2500 0.0924
Co2 0.7500 0.7500 0.9076
W1 0.2500 0.7500 0.3725
W2 0.7500 0.2500 0.6275

---

Compound: LiTiHgBi
Source: Alexandria
Functional: PBE
Structure: relaxed

Cell lengths 4.9513, 4.9513, 4.9513 Å; angles 60.00, 60.00, 60.00 degrees
Fractional coordinates of all 4 atoms:
Li1 0.0000 0.0000 0.0000
Ti1 0.5000 0.5000 0.5000
Hg1 0.2500 0.2500 0.2500
Bi1 0.7500 0.7500 0.7500

---

Compound: Pa4Si2Se5
Source: Alexandria
Functional: PBE
Structure: relaxed

Cell lengths 10.0929, 10.0929, 10.0929 Å; angles 156.53, 135.94, 50.51 degrees
Fractional coordinates of all 11 atoms:
Pa1 0.2102 0.2102 0.0000
Pa2 0.2330 0.5000 0.7330
Pa3 0.7670 0.5000 0.2670
Pa4 0.7898 0.7898 0.0000
Si1 0.0599 0.0599 0.0000
Si2 0.9401 0.9401 0.0000
Se1 0.0940 0.3343 0.7597
Se2 0.4254 0.6657 0.7597
Se3 0.5000 0.0000 0.5000
Se4 0.5746 0.3343 0.2403
Se5 0.9060 0.6657 0.2403

---

Compound: V3CrH4
Source: Alexandria
Functional: PBE
Structure: relaxed

Cell lengths 6.2558, 4.4308, 4.4749 Å; angles 90.00, 90.00, 90.00 degrees
Fractional coordinates of all 16 atoms:
V1 0.0000 0.2418 0.0000
V2 0.2494 0.2540 0.4993
V3 0.2506 0.7460 0.9993
V4 0.5000 0.7582 0.5000
V5 0.7494 0.7460 0.9993
V6 0.7506 0.2540 0.4993
Cr1 0.0000 0.7546 0.5033
Cr2 0.5000 0.2454 0.0033
H1 0.0000 0.3943 0.3650
H2 0.0000 0.6169 0.8610
H3 0.2433 0.8730 0.3762
H4 0.2567 0.1270 0.8762
H5 0.5000 0.3831 0.3610
H6 0.5000 0.6057 0.8650
H7 0.7433 0.1270 0.8762
H8 0.7567 0.8730 0.3762

---

Compound: PmHfSn
Source: Alexandria
Functional: PBE
Structure: relaxed

Cell lengths 3.4574, 5.0018, 9.4089 Å; angles 90.00, 100.35, 90.00 degrees
Fractional coordinates of all 6 atoms:
Pm1 0.0000 0.0000 0.0000
Pm2 0.2050 0.5000 0.4306
Hf1 0.3859 0.5000 0.7774
Hf2 0.8228 0.0000 0.6531
Sn1 0.5576 0.5000 0.1132
Sn2 0.6473 0.0000 0.3174

Energy above the most stable polymorph in this dataset in meV per atom: 301

---

Compound: P2C
Source: Alexandria
Functional: PBE
Structure: relaxed

Cell lengths 2.7883, 2.7883, 11.2310 Å; angles 90.00, 90.00, 120.00 degrees
Fractional coordinates of all 6 atoms:
P1 0.0000 0.0000 0.1362
P2 0.0000 0.0000 0.3638
P3 0.0000 0.0000 0.6362
P4 0.0000 0.0000 0.8638
C1 0.3333 0.6667 0.2500
C2 0.6667 0.3333 0.7500

Energy above the most stable polymorph in this dataset in meV per atom: 826

---

Compound: YMoP2
Source: Alexandria
Functional: PBE
Structure: relaxed

Cell lengths 7.3071, 7.3071, 7.3071 Å; angles 134.52, 134.52, 66.28 degrees
Fractional coordinates of all 8 atoms:
Y1 0.0000 0.0000 0.0000
Y2 0.7500 0.2500 0.5000
Mo1 0.2500 0.7500 0.5000
Mo2 0.5000 0.5000 0.0000
P1 0.1910 0.6250 0.0660
P2 0.3750 0.4410 0.5660
P3 0.5590 0.1250 0.9340
P4 0.8750 0.8090 0.4340

Energy above the most stable polymorph in this dataset in meV per atom: 427

---

Compound: RbH2OF
Source: Alexandria
Functional: PBE
Structure: relaxed

Cell lengths 8.0656, 4.2251, 8.6347 Å; angles 90.00, 90.00, 90.00 degrees
Fractional coordinates of all 20 atoms:
Rb1 0.2416 0.2500 0.0345
Rb2 0.2584 0.7500 0.5345
Rb3 0.7416 0.2500 0.4655
Rb4 0.7584 0.7500 0.9655
H1 0.0390 0.0608 0.7537
H2 0.0390 0.4392 0.7537
H3 0.4610 0.5608 0.2537
H4 0.4610 0.9392 0.2537
H5 0.5390 0.0608 0.7463
H6 0.5390 0.4392 0.7463
H7 0.9610 0.5608 0.2463
H8 0.9610 0.9392 0.2463
O1 0.0129 0.2500 0.6880
O2 0.4871 0.7500 0.1880
O3 0.5129 0.2500 0.8120
O4 0.9871 0.7500 0.3120
F1 0.0930 0.7500 0.8507
F2 0.4070 0.2500 0.3507
F3 0.5930 0.7500 0.6493
F4 0.9070 0.2500 0.1493

---

Compound: Ac5Pr6Nd2
Source: Alexandria
Functional: PBE
Structure: relaxed

Cell lengths 12.2135, 22.1665, 3.8308 Å; angles 90.00, 90.00, 90.00 degrees
Fractional coordinates of all 26 atoms:
Ac1 0.0000 0.0000 0.0000
Ac2 0.0505 0.2897 0.0000
Ac3 0.1935 0.5755 0.0000
Ac4 0.3065 0.0755 0.0000
Ac5 0.4495 0.7897 0.0000
Ac6 0.5000 0.5000 0.0000
Ac7 0.5505 0.2103 0.0000
Ac8 0.6935 0.9245 0.0000
Ac9 0.8065 0.4245 0.0000
Ac10 0.9495 0.7103 0.0000
Pr1 0.0568 0.1436 0.5000
Pr2 0.0807 0.4360 0.5000
Pr3 0.1900 0.8726 0.0000
Pr4 0.3100 0.3726 0.0000
Pr5 0.4193 0.9360 0.5000
Pr6 0.4432 0.6436 0.5000
Pr7 0.5568 0.3564 0.5000
Pr8 0.5807 0.0640 0.5000
Pr9 0.6900 0.6274 0.0000
Pr10 0.8100 0.1274 0.0000
Pr11 0.9193 0.5640 0.5000
Pr12 0.9432 0.8564 0.5000
Nd1 0.2075 0.7319 0.5000
Nd2 0.2925 0.2319 0.5000
Nd3 0.7075 0.7681 0.5000
Nd4 0.7925 0.2681 0.5000

---

no.,electronic total energy (eV for the cell shown),total magnetic moment (μB per formula unit)
1,-13.04,3.5
2,-35.00,0.9
3,-29.00,4.8
4,-39.21,0.2
5,-14.35,2.0
6,-77.25,2.7
7,-102.40,0.0
8,-38.53,0.0
9,-32.55,0.0
10,-59.24,0.0
11,-92.43,0.1
12,-115.39,0.0